HfMoF2 (PBE+U, relaxed); SG = R-3m; density of states at the Fermi level = 2.20 states/eV/f.u.; relative energy among the computed polymorphs = 241 meV per atom
1.0
1.426 0.823 7.936
-1.426 0.823 7.936
0.000 -1.647 7.936
Hf Mo F
1 1 2
direct
0.000 0.000 0.000
0.500 0.500 0.500
0.401 0.401 0.401
0.599 0.599 0.599